A plane-wave DFT calculation with PBE-GGA was carried out for crystalline Na3SeCl6 at its relaxed geometry.

As for the uncorrected formation energy: -1.12 eV/atom. The value obtained for the final energy is -2.97 eV per atom.

The space group is P2_1/c (No. 14) and the conventional cell measures 6.848, 7.117 and 12.149 Å, with angles of 90.00, 118.08 and 90.00 degrees. The inequivalent atoms are Na at (0.000, 0.000, 0.000), Na at (0.273, 0.084, 0.765), Se at (0.500, 0.000, 0.500), Cl at (0.098, 0.064, 0.240), Cl at (0.305, 0.676, 0.089) and Cl at (0.402, 0.209, 0.065).

---

A plane-wave DFT calculation with PBE-GGA was carried out for crystalline Ag3Au3Br8 at its relaxed geometry.

As for the uncorrected formation energy: -0.12 eV/atom. The value obtained for the final energy is -2.39 eV per atom.

The space group is R-3m (No. 166, hexagonal axes) and the conventional cell measures 8.2071, 8.2071 and 20.4007 Å, with angles of 90.00, 90.00 and 120.00 degrees. The inequivalent atoms are Ag at (0.0000, 0.5000, 0.0000), Au at (0.0000, 0.0000, 0.1296), Au at (0.0000, 0.0000, 0.5000), Br at (0.0000, 0.0000, 0.2604) and Br at (0.0174, 0.5087, 0.2467).

---

A plane-wave DFT calculation with PBE-GGA was carried out for crystalline LiV2GeN at its relaxed geometry.

As for the uncorrected formation energy: -0.56 eV/atom. The value obtained for the final energy is -7.18 eV per atom.

The space group is P4/mmm (No. 123) and the conventional cell measures 3.905, 3.905 and 3.892 Å, with angles of 90.00, 90.00 and 90.00 degrees. The inequivalent atoms are Li at (0.000, 0.000, 0.000), V at (0.000, 0.500, 0.500), Ge at (0.500, 0.500, 0.000) and N at (0.000, 0.000, 0.500).